K2LiFe at its PBEsol-relaxed geometry, computed with SCAN.

## Properties
The energy above the lowest structure with this stoichiometry comes out at 0 meV/atom. The energy relative to the elements comes out at 681.0 meV per atom. The value obtained for the density of states at the Fermi level is 0.459 states/eV/atom.

The structure in CIF format:
```
data_K2LiFe
_cell_length_a 3.184
_cell_length_b 6.436
_cell_length_c 6.771
_cell_angle_alpha 106.79
_cell_angle_beta 103.60
_cell_angle_gamma 90.00
_symmetry_space_group_name_H-M 'P 1'
_symmetry_Int_Tables_number 1
_symmetry_space_group_name_Hall 'P 1'
loop_
_atom_site_label
_atom_site_type_symbol
_atom_site_fract_x
_atom_site_fract_y
_atom_site_fract_z
Fe1 Fe 0.207 0.770 0.413
K1 K 0.965 0.921 0.929
K2 K 0.767 0.299 0.535
Li1 Li 0.561 0.511 0.123
```

Re2MoCl at its PBEsol-relaxed geometry, computed with SCAN.

## Properties
The energy above the lowest structure with this stoichiometry comes out at 0 meV/atom. The value obtained for the density of states at the Fermi level is 0.730 states/eV/atom. For the uncorrected formation energy, the calculation gives 2.267 eV/f.u.

The structure in CIF format:
```
data_Re2MoCl
_cell_length_a 2.776
_cell_length_b 2.776
_cell_length_c 8.906
_cell_angle_alpha 90.00
_cell_angle_beta 90.00
_cell_angle_gamma 117.11
_symmetry_space_group_name_H-M 'P 1'
_symmetry_Int_Tables_number 1
_symmetry_space_group_name_Hall 'P 1'
loop_
_atom_site_label
_atom_site_type_symbol
_atom_site_fract_x
_atom_site_fract_y
_atom_site_fract_z
Re1 Re 0.000 0.000 0.000
Re2 Re 0.500 0.500 0.759
Mo1 Mo 0.500 0.500 0.255
Cl1 Cl 0.000 0.000 0.486
```

MnOF at its PBEsol-relaxed geometry, computed with SCAN.

## Properties
The value obtained for the density of states at the Fermi level is 0.131 states/eV/atom. For the uncorrected formation energy, the calculation gives -7.301 eV/f.u.

The structure in CIF format:
```
data_MnOF
_cell_length_a 4.429
_cell_length_b 5.075
_cell_length_c 5.556
_cell_angle_alpha 90.00
_cell_angle_beta 90.00
_cell_angle_gamma 90.00
_symmetry_space_group_name_H-M 'P 1'
_symmetry_Int_Tables_number 1
_symmetry_space_group_name_Hall 'P 1'
loop_
_atom_site_label
_atom_site_type_symbol
_atom_site_fract_x
_atom_site_fract_y
_atom_site_fract_z
Mn1 Mn 0.983 0.779 0.900
Mn2 Mn 0.983 0.279 0.600
Mn3 Mn 0.483 0.721 0.400
Mn4 Mn 0.483 0.221 0.100
O1 O 0.774 0.599 0.633
O2 O 0.774 0.099 0.867
O3 O 0.274 0.401 0.367
O4 O 0.274 0.901 0.133
F1 F 0.743 0.042 0.370
F2 F 0.743 0.542 0.130
F3 F 0.243 0.958 0.630
F4 F 0.243 0.458 0.870
```

Mg2FePt at its PBEsol-relaxed geometry, computed with SCAN.

## Properties
The energy relative to the elements comes out at -376.8 meV per atom. The value obtained for the density of states at the Fermi level is 0.677 states/eV/atom.

The structure in CIF format:
```
data_Mg2FePt
_cell_length_a 3.119
_cell_length_b 4.435
_cell_length_c 5.281
_cell_angle_alpha 114.83
_cell_angle_beta 107.18
_cell_angle_gamma 90.00
_symmetry_space_group_name_H-M 'P 1'
_symmetry_Int_Tables_number 1
_symmetry_space_group_name_Hall 'P 1'
loop_
_atom_site_label
_atom_site_type_symbol
_atom_site_fract_x
_atom_site_fract_y
_atom_site_fract_z
Fe1 Fe 0.233 0.733 0.465
Mg1 Mg 0.987 0.987 0.973
Mg2 Mg 0.766 0.266 0.532
Pt1 Pt 0.515 0.515 0.029
```

LaSc2 at its PBEsol-relaxed geometry, computed with SCAN.

## Properties
The energy above the lowest structure with this stoichiometry comes out at 153 meV/atom. The energy relative to the elements comes out at 219.9 meV per atom. The value obtained for the density of states at the Fermi level is 1.247 states/eV/atom.

The structure in CIF format:
```
data_LaSc2
_cell_length_a 6.293
_cell_length_b 6.293
_cell_length_c 6.293
_cell_angle_alpha 60.00
_cell_angle_beta 60.00
_cell_angle_gamma 60.00
_symmetry_space_group_name_H-M 'P 1'
_symmetry_Int_Tables_number 1
_symmetry_space_group_name_Hall 'P 1'
loop_
_atom_site_label
_atom_site_type_symbol
_atom_site_fract_x
_atom_site_fract_y
_atom_site_fract_z
La1 La 0.000 0.000 0.000
La2 La 0.250 0.250 0.250
Sc1 Sc 0.125 0.625 0.625
Sc2 Sc 0.625 0.625 0.625
Sc3 Sc 0.625 0.625 0.125
Sc4 Sc 0.625 0.125 0.625
```

CsPt2S at its PBEsol-relaxed geometry, computed with SCAN.

## Properties
The value obtained for the density of states at the Fermi level is 0.165 states/eV/atom. For the uncorrected formation energy, the calculation gives -2.331 eV/f.u.

The structure in CIF format:
```
data_CsPt2S
_cell_length_a 5.439
_cell_length_b 5.439
_cell_length_c 8.170
_cell_angle_alpha 109.44
_cell_angle_beta 109.44
_cell_angle_gamma 90.00
_symmetry_space_group_name_H-M 'P 1'
_symmetry_Int_Tables_number 1
_symmetry_space_group_name_Hall 'P 1'
loop_
_atom_site_label
_atom_site_type_symbol
_atom_site_fract_x
_atom_site_fract_y
_atom_site_fract_z
Cs1 Cs 0.000 0.000 0.000
Cs2 Cs 0.250 0.750 0.500
S1 S 0.500 0.500 0.000
S2 S 0.750 0.250 0.500
Pt1 Pt 0.625 0.375 0.750
Pt2 Pt 0.125 0.375 0.750
Pt3 Pt 0.625 0.875 0.250
Pt4 Pt 0.625 0.375 0.250
```

SbPPbI2 at its PBEsol-relaxed geometry, computed with SCAN.

## Properties
The value obtained for the density of states at the Fermi level is 0.473 states/eV/atom. For the uncorrected formation energy, the calculation gives 4.005 eV/f.u.

The structure in CIF format:
```
data_SbPPbI2
_cell_length_a 5.995
_cell_length_b 5.995
_cell_length_c 5.978
_cell_angle_alpha 90.00
_cell_angle_beta 90.00
_cell_angle_gamma 90.00
_symmetry_space_group_name_H-M 'P 1'
_symmetry_Int_Tables_number 1
_symmetry_space_group_name_Hall 'P 1'
loop_
_atom_site_label
_atom_site_type_symbol
_atom_site_fract_x
_atom_site_fract_y
_atom_site_fract_z
Pb1 Pb 0.000 0.000 0.000
I1 I 0.000 0.500 0.000
I2 I 0.500 0.000 0.000
P1 P 0.500 0.500 0.500
Sb1 Sb 0.000 0.000 0.500
```

BeCuS2 at its PBEsol-relaxed geometry, computed with SCAN.

## Properties
The value obtained for the density of states at the Fermi level is 0.716 states/eV/atom. For the uncorrected formation energy, the calculation gives -2.703 eV/f.u.

The structure in CIF format:
```
data_BeCuS2
_cell_length_a 5.021
_cell_length_b 5.021
_cell_length_c 6.053
_cell_angle_alpha 114.50
_cell_angle_beta 114.50
_cell_angle_gamma 90.00
_symmetry_space_group_name_H-M 'P 1'
_symmetry_Int_Tables_number 1
_symmetry_space_group_name_Hall 'P 1'
loop_
_atom_site_label
_atom_site_type_symbol
_atom_site_fract_x
_atom_site_fract_y
_atom_site_fract_z
Be1 Be 0.750 0.250 0.500
Be2 Be 0.500 0.500 0.000
S1 S 0.851 0.375 0.250
S2 S 0.399 0.875 0.250
S3 S 0.625 0.601 0.750
S4 S 0.125 0.149 0.750
Cu1 Cu 0.250 0.750 0.500
Cu2 Cu 0.000 0.000 0.000
```

BaSrMg at its PBEsol-relaxed geometry, computed with SCAN.

## Properties
The energy above the lowest structure with this stoichiometry comes out at 0 meV/atom. The energy relative to the elements comes out at -29.2 meV per atom. The value obtained for the density of states at the Fermi level is 1.033 states/eV/atom.

The structure in CIF format:
```
data_BaSrMg
_cell_length_a 4.219
_cell_length_b 4.219
_cell_length_c 7.940
_cell_angle_alpha 105.41
_cell_angle_beta 105.41
_cell_angle_gamma 90.00
_symmetry_space_group_name_H-M 'P 1'
_symmetry_Int_Tables_number 1
_symmetry_space_group_name_Hall 'P 1'
loop_
_atom_site_label
_atom_site_type_symbol
_atom_site_fract_x
_atom_site_fract_y
_atom_site_fract_z
Sr1 Sr 0.694 0.694 0.389
Mg1 Mg 0.328 0.328 0.657
Ba1 Ba 0.977 0.977 0.954
```

MnRu2Rh at its PBEsol-relaxed geometry, computed with SCAN.

## Properties
The energy relative to the elements comes out at -12.5 meV per atom. The value obtained for the density of states at the Fermi level is 1.127 states/eV/atom.

The structure in CIF format:
```
data_MnRu2Rh
_cell_length_a 3.704
_cell_length_b 3.704
_cell_length_c 4.559
_cell_angle_alpha 113.96
_cell_angle_beta 113.96
_cell_angle_gamma 90.00
_symmetry_space_group_name_H-M 'P 1'
_symmetry_Int_Tables_number 1
_symmetry_space_group_name_Hall 'P 1'
loop_
_atom_site_label
_atom_site_type_symbol
_atom_site_fract_x
_atom_site_fract_y
_atom_site_fract_z
Mn1 Mn 0.500 0.500 0.000
Rh1 Rh 0.000 0.000 0.000
Ru1 Ru 0.750 0.250 0.500
Ru2 Ru 0.250 0.750 0.500
```

SrBe3Os at its PBEsol-relaxed geometry, computed with SCAN.

## Properties
The energy above the lowest structure with this stoichiometry comes out at 0 meV/atom. The energy relative to the elements comes out at 35.7 meV per atom. The value obtained for the density of states at the Fermi level is 0.340 states/eV/atom.

The structure in CIF format:
```
data_SrBe3Os
_cell_length_a 4.376
_cell_length_b 4.376
_cell_length_c 4.376
_cell_angle_alpha 90.00
_cell_angle_beta 90.00
_cell_angle_gamma 90.00
_symmetry_space_group_name_H-M 'P 1'
_symmetry_Int_Tables_number 1
_symmetry_space_group_name_Hall 'P 1'
loop_
_atom_site_label
_atom_site_type_symbol
_atom_site_fract_x
_atom_site_fract_y
_atom_site_fract_z
Sr1 Sr 0.500 0.500 0.500
Os1 Os 0.000 0.000 0.000
Be1 Be 0.000 0.500 0.000
Be2 Be 0.000 0.000 0.500
Be3 Be 0.500 0.000 0.000
```

Mg2In2P at its PBEsol-relaxed geometry, computed with SCAN.

## Properties
The energy relative to the elements comes out at 175.4 meV per atom. The value obtained for the density of states at the Fermi level is 0.563 states/eV/atom.

The structure in CIF format:
```
data_Mg2In2P
_cell_length_a 3.883
_cell_length_b 3.883
_cell_length_c 8.325
_cell_angle_alpha 103.48
_cell_angle_beta 103.48
_cell_angle_gamma 90.00
_symmetry_space_group_name_H-M 'P 1'
_symmetry_Int_Tables_number 1
_symmetry_space_group_name_Hall 'P 1'
loop_
_atom_site_label
_atom_site_type_symbol
_atom_site_fract_x
_atom_site_fract_y
_atom_site_fract_z
In1 In 0.250 0.750 0.500
In2 In 0.750 0.250 0.500
Mg1 Mg 0.588 0.588 0.175
Mg2 Mg 0.412 0.412 0.825
P1 P 0.000 0.000 0.000
```

InNi2Rh at its PBEsol-relaxed geometry, computed with SCAN.

## Properties
The energy relative to the elements comes out at 45.1 meV per atom. The value obtained for the density of states at the Fermi level is 0.977 states/eV/atom.

The structure in CIF format:
```
data_InNi2Rh
_cell_length_a 2.740
_cell_length_b 4.066
_cell_length_c 5.011
_cell_angle_alpha 90.00
_cell_angle_beta 105.87
_cell_angle_gamma 90.00
_symmetry_space_group_name_H-M 'P 1'
_symmetry_Int_Tables_number 1
_symmetry_space_group_name_Hall 'P 1'
loop_
_atom_site_label
_atom_site_type_symbol
_atom_site_fract_x
_atom_site_fract_y
_atom_site_fract_z
In1 In 0.423 0.500 0.846
Ni1 Ni 0.815 0.000 0.629
Ni2 Ni 0.683 0.500 0.367
Rh1 Rh 0.089 0.000 0.177
```